Entry from Alexandria: crystalline Zr3TiBe2N at its relaxed geometry (PBE).

```
Zr3TiBe2N
1.0
-2.006 2.133 6.749
2.006 -2.133 6.749
2.006 2.133 -6.749
Zr Ti Be N
3 1 2 1
Cartesian
0.000 0.000 0.000
2.006 0.000 4.408
0.000 2.133 2.341
0.000 0.000 6.749
2.006 0.000 1.718
0.000 2.133 5.031
0.000 2.133 0.000
```

Output
**Symmetry**: Immm, No. 71
**Raw total energy**: -7.465 eV per atom
**ΔE_f (raw)**: -40.5 kJ per mole of atoms

---

Entry from Alexandria: crystalline SrCuNi2 at its relaxed geometry (PBE).

```
SrCuNi2
1.0
4.468 0.000 0.000
0.000 4.061 0.000
-0.412 0.000 4.576
Sr Cu Ni
1 1 2
Cartesian
0.000 0.000 0.000
1.774 2.031 3.369
2.108 0.000 2.145
2.264 2.031 1.089
```

Output
**Symmetry**: Pm, No. 6
**Raw total energy**: -4.133 eV per atom
**Excess energy over the best structure of this formula in the dataset**: 272 meV per atom

---

Entry from Alexandria: crystalline AcNdYPu at its relaxed geometry (PBE).

```
AcNdYPu
1.0
0.000 4.134 4.134
4.134 0.000 4.134
4.134 4.134 0.000
Ac Nd Y Pu
1 1 1 1
Cartesian
0.000 0.000 0.000
6.202 6.202 6.202
2.067 2.067 2.067
4.134 4.134 4.134
```

Output
**Symmetry**: F-43m, No. 216
**Raw total energy**: -7.151 eV per atom

---

Entry from Alexandria: crystalline RbLaRh2Au at its relaxed geometry (PBE).

```
RbLaRh2Au
1.0
4.912 0.000 0.000
0.000 4.912 0.000
0.000 0.000 5.518
Rb La Rh Au
1 1 2 1
Cartesian
0.000 0.000 0.000
2.456 2.456 2.759
0.000 2.456 0.000
2.456 0.000 0.000
0.000 0.000 2.759
```

Output
**Symmetry**: P4/mmm, No. 123
**Raw total energy**: -3.675 eV per atom

---

Entry from Alexandria: crystalline KFe2Au at its relaxed geometry (PBE).

```
KFe2Au
1.0
3.495 0.000 0.000
0.000 3.495 0.000
0.000 0.000 7.465
K Fe Au
1 2 1
Cartesian
0.000 0.000 0.000
1.747 1.747 2.648
1.747 1.747 4.817
0.000 0.000 3.732
```

Output
**Symmetry**: P4/mmm, No. 123
**Raw total energy**: -4.676 eV per atom

---

Entry from Alexandria: crystalline Tb3Ag2Ir at its relaxed geometry (PBE).

```
Tb3Ag2Ir
1.0
5.031 0.000 0.000
-2.516 4.357 0.000
0.000 0.000 6.236
Tb Ag Ir
3 2 1
Cartesian
0.000 0.000 0.000
0.000 2.905 4.022
2.516 1.452 2.214
0.000 2.905 0.911
2.516 1.452 5.325
0.000 0.000 3.118
```

Output
**Symmetry**: P-3m1, No. 164
**Raw total energy**: -5.247 eV per atom
**Excess energy over the best structure of this formula in the dataset**: 0 meV per atom

---

Entry from Alexandria: crystalline Er2PuTlC at its relaxed geometry (PBE).

```
Er2PuTlC
1.0
4.925 0.000 0.000
0.000 4.925 0.000
0.000 0.000 4.730
Er Pu Tl C
2 1 1 1
Cartesian
0.000 2.463 0.000
2.463 0.000 0.000
0.000 0.000 2.365
2.463 2.463 2.365
0.000 0.000 0.000
```

Output
**Symmetry**: P4/mmm, No. 123
**Raw total energy**: -7.298 eV per atom

---

Entry from Alexandria: crystalline YTm2Sn2 at its relaxed geometry (PBE).

```
YTm2Sn2
1.0
2.437 -9.041 0.000
2.437 9.041 0.000
0.000 0.000 6.435
Y Tm Sn
2 4 4
Cartesian
2.437 7.079 3.218
2.437 -7.079 0.000
2.437 3.372 3.172
2.437 0.022 4.816
2.437 -0.022 1.598
2.437 -3.372 6.390
2.437 7.718 6.425
2.437 3.663 6.381
2.437 -3.663 3.163
2.437 -7.718 3.207
```

Output
**Symmetry**: Cmc2_1, No. 36
**Raw total energy**: -5.277 eV per atom

---

Entry from Alexandria: crystalline Y3Th5Tl12 at its relaxed geometry (PBE).

```
Y3Th5Tl12
1.0
-9.049 9.049 9.049
9.049 -9.049 9.049
9.049 9.049 -9.049
Y Th Tl
12 20 48
Cartesian
4.524 2.262 0.000
9.049 4.524 -2.262
2.262 0.000 4.524
11.311 0.000 4.524
0.000 4.524 2.262
4.524 -2.262 9.049
4.524 11.311 0.000
9.049 4.524 6.787
-2.262 9.049 4.524
6.787 9.049 4.524
0.000 4.524 11.311
4.524 6.787 9.049
0.000 0.000 0.000
4.524 4.524 -4.524
4.524 -4.524 4.524
9.049 0.000 0.000
13.573 2.262 0.000
9.049 -4.524 6.787
6.787 9.049 -4.524
6.787 0.000 4.524
4.524 6.787 0.000
9.049 4.524 2.262
-4.524 4.524 4.524
0.000 9.049 0.000
0.000 0.000 9.049
4.524 4.524 4.524
0.000 4.524 6.787
4.524 2.262 9.049
2.262 9.049 4.524
2.262 0.000 13.573
0.000 13.573 2.262
-4.524 6.787 9.049
2.770 -0.093 1.424
10.803 5.949 -4.617
8.956 -1.424 2.770
13.666 -1.754 3.100
11.819 0.093 1.424
10.803 -3.100 4.617
1.424 2.770 -0.093
12.149 4.432 -1.754
5.949 4.617 -1.754
7.625 2.770 0.093
-0.093 1.424 2.770
4.617 -1.754 5.949
8.956 7.625 -2.770
4.617 1.754 3.100
7.625 -2.770 8.956
5.949 -4.617 10.803
3.100 4.617 1.754
10.473 6.279 0.093
2.770 8.956 -1.424
10.803 3.100 4.432
4.617 10.803 -3.100
1.754 3.100 4.617
2.770 0.093 7.625
8.956 1.424 6.279
0.093 7.625 2.770
6.279 8.956 1.424
7.294 5.949 4.432
4.432 -1.754 12.149
-1.754 5.949 4.617
6.279 0.093 10.473
-1.424 2.770 8.956
5.949 4.432 7.294
3.100 13.666 -1.754
1.424 11.819 0.093
4.432 7.294 5.949
0.093 1.424 11.819
4.432 10.803 3.100
9.142 7.625 6.279
1.424 6.279 8.956
3.100 4.432 10.803
-3.100 4.617 10.803
7.625 6.279 9.142
-1.754 12.149 4.432
-2.770 8.956 7.625
-4.617 10.803 5.949
0.093 10.473 6.279
-1.754 3.100 13.666
6.279 9.142 7.625
```

Output
**Symmetry**: Ia-3d, No. 230
**Raw total energy**: -3.828 eV per atom

---

Entry from Alexandria: crystalline ZrH2Pt at its relaxed geometry (PBE).

```
ZrH2Pt
1.0
0.000 2.801 2.801
2.801 0.000 2.801
2.801 2.801 0.000
Zr H Pt
1 2 1
Cartesian
0.000 0.000 0.000
1.401 1.401 1.401
4.202 4.202 4.202
2.801 2.801 2.801
```

Output
**Symmetry**: Fm-3m, No. 225
**Raw total energy**: -5.487 eV per atom
**Excess energy over the best structure of this formula in the dataset**: 161 meV per atom

---

Entry from Alexandria: crystalline Mn2NbAlNi at its relaxed geometry (PBE).

```
Mn2NbAlNi
1.0
4.314 0.000 0.000
0.000 4.314 0.000
0.000 0.000 4.129
Mn Nb Al Ni
2 1 1 1
Cartesian
0.000 2.157 0.000
2.157 0.000 0.000
0.000 0.000 2.065
2.157 2.157 0.000
2.157 2.157 2.065
```

Output
**Symmetry**: P4/mmm, No. 123
**Raw total energy**: -6.734 eV per atom
**Excess energy over the best structure of this formula in the dataset**: 0 meV per atom

---

Entry from Alexandria: crystalline ThZn2Cu at its relaxed geometry (PBE).

```
ThZn2Cu
1.0
0.000 3.386 3.386
3.386 0.000 3.386
3.386 3.386 0.000
Th Zn Cu
1 2 1
Cartesian
0.000 0.000 0.000
1.693 1.693 1.693
5.079 5.079 5.079
3.386 3.386 3.386
```

Output
**Symmetry**: Fm-3m, No. 225
**Raw total energy**: -3.583 eV per atom

---

Entry from Alexandria: crystalline PuSn2Se4 at its relaxed geometry (PBE).

```
PuSn2Se4
1.0
2.010 -7.012 0.000
2.010 7.012 0.000
0.000 0.000 13.665
Pu Sn Se
2 4 8
Cartesian
2.010 5.393 10.249
2.010 -5.393 3.416
2.010 1.849 7.742
2.010 1.849 12.756
2.010 -1.849 0.909
2.010 -1.849 5.923
0.000 0.000 0.000
0.000 0.000 6.833
2.010 3.027 1.720
2.010 3.027 5.113
2.010 0.415 10.249
2.010 -0.415 3.416
2.010 -3.027 8.552
2.010 -3.027 11.946
```

Output
**Symmetry**: Cmcm, No. 63
**Raw total energy**: -5.903 eV per atom
**ΔE_f (raw)**: -69.6 kJ per mole of atoms

---

Entry from Alexandria: crystalline Er3GeB2Pt9 at its relaxed geometry (PBE).

```
Er3GeB2Pt9
1.0
5.715 0.000 0.000
-2.857 4.949 0.000
0.000 0.000 9.189
Er Ge B Pt
3 1 2 9
Cartesian
0.000 0.000 0.000
0.000 3.299 5.530
2.857 1.650 3.659
0.000 0.000 4.595
0.000 3.299 1.373
2.857 1.650 7.816
-1.429 2.474 0.000
0.000 1.638 2.671
-1.439 4.130 2.671
1.419 0.819 6.518
2.857 0.000 0.000
1.429 2.474 0.000
1.439 4.130 2.671
4.296 0.819 6.518
2.857 3.311 6.518
```

Output
**Symmetry**: P-3m1, No. 164
**Raw total energy**: -6.583 eV per atom

---

Entry from Alexandria: crystalline Ba3MnCl at its relaxed geometry (PBE).

```
Ba3MnCl
1.0
6.077 0.000 0.000
0.000 6.077 0.000
0.000 0.000 6.077
Ba Mn Cl
3 1 1
Cartesian
0.000 0.000 3.039
0.000 3.039 0.000
3.039 0.000 0.000
3.039 3.039 3.039
0.000 0.000 0.000
```

Output
**Symmetry**: Pm-3m, No. 221
**Raw total energy**: -3.590 eV per atom
**Excess energy over the best structure of this formula in the dataset**: 0 meV per atom
**ΔE_f (raw)**: -22.5 kJ per mole of atoms

---

Entry from Alexandria: crystalline PmErGeRu at its relaxed geometry (PBE).

```
PmErGeRu
1.0
0.000 3.518 3.518
3.518 0.000 3.518
3.518 3.518 0.000
Pm Er Ge Ru
1 1 1 1
Cartesian
0.000 0.000 0.000
3.518 3.518 3.518
5.278 5.278 5.278
1.759 1.759 1.759
```

Output
**Symmetry**: F-43m, No. 216
**Raw total energy**: -6.223 eV per atom
**Excess energy over the best structure of this formula in the dataset**: 174 meV per atom

---

Entry from Alexandria: crystalline K2Rb at its relaxed geometry (PBE).

```
K2Rb
1.0
4.736 0.000 0.000
-0.003 6.899 0.000
-2.236 -3.402 7.157
K Rb
2 1
Cartesian
0.041 0.016 2.433
2.456 3.481 4.724
2.367 3.449 0.000
```

Output
**Symmetry**: P-1, No. 2
**Raw total energy**: -1.050 eV per atom

---

Entry from Alexandria: crystalline CaPtSe at its relaxed geometry (PBE).

```
CaPtSe
1.0
-1.916 2.293 8.365
1.916 -2.293 8.365
1.916 2.293 -8.365
Ca Pt Se
2 2 2
Cartesian
0.000 0.000 0.000
0.000 0.000 4.240
0.000 0.000 8.315
0.000 2.293 1.818
1.916 0.000 6.547
0.000 0.000 11.840
```

Output
**Symmetry**: Imm2, No. 44
**Raw total energy**: -4.946 eV per atom
**ΔE_f (raw)**: -106.5 kJ per mole of atoms

---

Entry from Alexandria: crystalline GaBMo2P at its relaxed geometry (PBE).

```
GaBMo2P
1.0
4.714 0.000 0.000
0.000 4.714 0.000
0.000 0.000 4.212
Ga B Mo P
1 1 2 1
Cartesian
0.000 0.000 0.000
2.357 2.357 2.106
0.000 2.357 0.000
2.357 0.000 0.000
0.000 0.000 2.106
```

Output
**Symmetry**: P4/mmm, No. 123
**Raw total energy**: -5.083 eV per atom

---

Entry from Alexandria: crystalline LiCdSiAg at its relaxed geometry (PBE).

```
LiCdSiAg
1.0
0.000 3.249 3.249
3.249 0.000 3.249
3.249 3.249 0.000
Li Cd Si Ag
1 1 1 1
Cartesian
0.000 0.000 0.000
1.625 1.625 1.625
3.249 3.249 3.249
4.874 4.874 4.874
```

Output
**Symmetry**: F-43m, No. 216
**Raw total energy**: -2.778 eV per atom
**ΔE_f (raw)**: -0.2 kJ per mole of atoms